A plane-wave DFT calculation with PBE was carried out for an optimized crystal structure of Nd4ThPd15.

Lattice parameters (Å, degrees): 4.2017 4.2017 21.0720 90.00 90.00 90.00
Element x y z (fractional)
Nd 0.0000 0.0000 0.1002
Nd 0.0000 0.0000 0.2993
Nd 0.0000 0.0000 0.7007
Nd 0.0000 0.0000 0.8998
Th 0.0000 0.0000 0.5000
Pd 0.0000 0.5000 0.0000
Pd 0.0000 0.5000 0.2004
Pd 0.0000 0.5000 0.4019
Pd 0.0000 0.5000 0.5981
Pd 0.0000 0.5000 0.7996
Pd 0.5000 0.0000 0.0000
Pd 0.5000 0.0000 0.2004
Pd 0.5000 0.0000 0.4019
Pd 0.5000 0.0000 0.5981
Pd 0.5000 0.0000 0.7996
Pd 0.5000 0.5000 0.1001
Pd 0.5000 0.5000 0.3011
Pd 0.5000 0.5000 0.5000
Pd 0.5000 0.5000 0.6989
Pd 0.5000 0.5000 0.8999

E = -6.0403 eV/atom
DFT formation energy = -0.8211 eV per atom
calculated density = 10.74 g cm⁻³
volume = 18.60 A^3/atom
density of states at the Fermi level = 0.517 states/eV/atom

=====

A plane-wave DFT calculation with PBE was carried out for an optimized crystal structure of NdTh2Pd7.

Lattice parameters (Å, degrees): 9.5998 9.0422 5.2258 79.69 67.93 32.38
Element x y z (fractional)
Nd 0.0000 0.0000 0.0000
Th 0.3311 0.3311 0.6689
Th 0.6689 0.6689 0.3311
Pd 0.0850 0.0850 0.4150
Pd 0.2500 0.2500 0.2500
Pd 0.4150 0.4150 0.0850
Pd 0.5000 0.5000 0.5000
Pd 0.5850 0.5850 0.9150
Pd 0.7500 0.7500 0.7500
Pd 0.9150 0.9150 0.5850

E = -6.2664 eV/atom
DFT formation energy = -0.6707 eV per atom
calculated density = 10.39 g cm⁻³
volume = 21.62 A^3/atom
density of states at the Fermi level = 0.812 states/eV/atom

=====

A plane-wave DFT calculation with PBE was carried out for an optimized crystal structure of NdTh2Pd.

Lattice parameters (Å, degrees): 11.2993 11.2993 11.2993 18.05 18.05 18.05
Element x y z (fractional)
Nd 0.0000 0.0000 0.0000
Th 0.1012 0.1012 0.1012
Th 0.8988 0.8988 0.8988
Pd 0.5000 0.5000 0.5000

E = -6.1870 eV/atom
DFT formation energy = 0.0131 eV per atom
calculated density = 9.82 g cm⁻³
E above lowest polymorph = 381 meV/atom
volume = 30.23 A^3/atom
density of states at the Fermi level = 1.559 states/eV/atom

=====

A plane-wave DFT calculation with PBE was carried out for an optimized crystal structure of NdTh2Pd.

Lattice parameters (Å, degrees): 3.7785 10.3028 6.2865 90.00 107.48 90.00
Element x y z (fractional)
Nd 0.0792 0.2500 0.1599
Nd 0.9208 0.7500 0.8401
Th 0.3640 0.0501 0.7273
Th 0.3640 0.4499 0.7273
Th 0.6360 0.5501 0.2727
Th 0.6360 0.9499 0.2727
Pd 0.2132 0.7500 0.4263
Pd 0.7868 0.2500 0.5737

E = -6.5681 eV/atom
DFT formation energy = -0.3680 eV per atom
calculated density = 10.17 g cm⁻³
E above lowest polymorph = 0 meV/atom
volume = 29.18 A^3/atom
density of states at the Fermi level = 1.094 states/eV/atom